Version a
An optimized crystal structure of SmSbNO. Source: OQMD via LeMat-Bulk, functional PBE-GGA. Values from VASP.

Computed properties:
As for the volume: 18.044 A^3/atom. The value obtained for the magnetization is 0.000 μB per atom.

Quantum ESPRESSO input file:
```
&SYSTEM
  ibrav = 0, nat = 8, ntyp = 4
/
ATOMIC_SPECIES
Sm 150.36 Sm.upf
Sb 121.76 Sb.upf
N 14.01 N.upf
O 16.00 O.upf
CELL_PARAMETERS angstrom
3.779 0.000 0.000
0.000 6.564 0.000
0.000 0.000 5.819
ATOMIC_POSITIONS angstrom
Sm 0.000 1.050 0.000
Sm 0.000 5.514 2.909
Sb 1.890 2.264 2.800
Sb 1.890 4.300 5.709
N 0.000 1.244 2.373
N 0.000 5.320 5.282
O 1.890 1.089 4.573
O 1.890 5.476 1.664
```

=====

Version b
An optimized crystal structure of SmSbNO. Source: OQMD via LeMat-Bulk, functional PBE-GGA. Values from VASP.

Computed properties:
As for the volume: 15.836 A^3/atom. The value obtained for the magnetization is 0.001 μB per atom.

Quantum ESPRESSO input file:
```
&SYSTEM
  ibrav = 0, nat = 8, ntyp = 4
/
ATOMIC_SPECIES
Sm 150.36 Sm.upf
Sb 121.76 Sb.upf
N 14.01 N.upf
O 16.00 O.upf
CELL_PARAMETERS angstrom
4.981 0.000 0.000
0.000 4.981 0.000
0.000 0.000 5.107
ATOMIC_POSITIONS angstrom
Sm 1.245 3.736 0.000
Sm 3.736 1.245 0.000
Sb 1.245 1.245 2.553
Sb 3.736 3.736 2.553
N 1.245 1.245 0.504
N 3.736 3.736 4.603
O 1.245 3.736 2.553
O 3.736 1.245 2.553
```

=====

Tell me which of them is the most stable. Sure, it is version a.

=====

Version a
An optimized crystal structure of SmSbNO. Source: OQMD via LeMat-Bulk, functional PBE-GGA. Values from VASP.

Computed properties:
As for the volume: 20.083 A^3/atom. The value obtained for the magnetization is 0.000 μB per atom.

Quantum ESPRESSO input file:
```
&SYSTEM
  ibrav = 0, nat = 8, ntyp = 4
/
ATOMIC_SPECIES
Sm 150.36 Sm.upf
Sb 121.76 Sb.upf
N 14.01 N.upf
O 16.00 O.upf
CELL_PARAMETERS angstrom
3.917 0.000 0.000
0.000 6.389 0.000
0.000 0.000 6.420
ATOMIC_POSITIONS angstrom
Sm 0.000 1.272 0.000
Sm 0.000 5.117 3.210
Sb 1.958 2.071 2.687
Sb 1.958 4.318 5.897
N 1.958 2.533 0.545
N 1.958 3.856 3.755
O 0.000 0.505 4.422
O 0.000 5.884 1.212
```

=====

Version b
An optimized crystal structure of SmSbNO. Source: OQMD via LeMat-Bulk, functional PBE-GGA. Values from VASP.

Computed properties:
As for the volume: 17.065 A^3/atom. The value obtained for the magnetization is 0.000 μB per atom.

Quantum ESPRESSO input file:
```
&SYSTEM
  ibrav = 0, nat = 16, ntyp = 4
/
ATOMIC_SPECIES
Sm 150.36 Sm.upf
Sb 121.76 Sb.upf
N 14.01 N.upf
O 16.00 O.upf
CELL_PARAMETERS angstrom
6.880 0.000 0.000
0.000 6.983 0.000
0.000 0.000 5.683
ATOMIC_POSITIONS angstrom
Sm 0.562 1.200 0.000
Sm 2.878 1.200 2.841
Sm 4.002 5.783 0.000
Sm 6.318 5.783 2.841
Sb 0.892 4.779 0.003
Sb 2.548 4.779 2.844
Sb 4.333 2.204 0.003
Sb 5.988 2.204 2.844
N 0.608 0.843 3.293
N 2.832 0.843 0.452
N 4.048 6.140 3.293
N 6.273 6.140 0.452
O 0.362 3.177 1.381
O 3.078 3.177 4.223
O 3.802 3.807 1.381
O 6.518 3.807 4.223
```

=====

Tell me which of them is the most stable. Sure, it is version a.

=====

Version a
An optimized crystal structure of ScTcNO. Source: OQMD via LeMat-Bulk, functional PBE-GGA. Values from VASP.

Computed properties:
As for the volume: 12.203 A^3/atom. The value obtained for the magnetization is 0.002 μB per atom.

Quantum ESPRESSO input file:
```
&SYSTEM
  ibrav = 0, nat = 8, ntyp = 4
/
ATOMIC_SPECIES
Sc 44.96 Sc.upf
Tc 98.00 Tc.upf
N 14.01 N.upf
O 16.00 O.upf
CELL_PARAMETERS angstrom
3.690 0.000 0.000
0.000 3.690 0.000
0.000 0.000 7.168
ATOMIC_POSITIONS angstrom
Sc 0.923 0.923 0.962
Sc 2.768 2.768 6.207
Tc 0.923 2.768 3.584
Tc 2.768 0.923 3.584
N 0.923 0.923 4.591
N 2.768 2.768 2.578
O 0.923 2.768 0.000
O 2.768 0.923 0.000
```

=====

Version b
An optimized crystal structure of ScTcNO. Source: OQMD via LeMat-Bulk, functional PBE-GGA. Values from VASP.

Computed properties:
As for the volume: 12.622 A^3/atom. The value obtained for the magnetization is 0.160 μB per atom.

Quantum ESPRESSO input file:
```
&SYSTEM
  ibrav = 0, nat = 8, ntyp = 4
/
ATOMIC_SPECIES
Sc 44.96 Sc.upf
Tc 98.00 Tc.upf
N 14.01 N.upf
O 16.00 O.upf
CELL_PARAMETERS angstrom
3.164 0.000 0.000
0.000 6.017 0.000
0.000 0.000 5.304
ATOMIC_POSITIONS angstrom
Sc 0.000 1.058 0.000
Sc 0.000 4.959 2.652
Tc 1.582 2.422 2.296
Tc 1.582 3.595 4.948
N 1.582 1.818 4.200
N 1.582 4.199 1.548
O 0.000 0.897 2.018
O 0.000 5.120 4.670
```

=====

Version c
An optimized crystal structure of ScTcNO. Source: OQMD via LeMat-Bulk, functional PBE-GGA. Values from VASP.

Computed properties:
As for the volume: 10.687 A^3/atom. The value obtained for the magnetization is 0.031 μB per atom.

Quantum ESPRESSO input file:
```
&SYSTEM
  ibrav = 0, nat = 8, ntyp = 4
/
ATOMIC_SPECIES
Sc 44.96 Sc.upf
Tc 98.00 Tc.upf
N 14.01 N.upf
O 16.00 O.upf
CELL_PARAMETERS angstrom
4.494 0.000 0.000
0.000 4.494 0.000
0.000 0.000 4.234
ATOMIC_POSITIONS angstrom
Sc 1.123 3.370 0.000
Sc 3.370 1.123 0.000
Tc 1.123 1.123 2.103
Tc 3.370 3.370 2.130
N 1.123 1.123 4.216
N 3.370 3.370 0.017
O 1.123 3.370 2.117
O 3.370 1.123 2.117
```

=====

Version d
An optimized crystal structure of ScTcNO. Source: OQMD via LeMat-Bulk, functional PBE-GGA. Values from VASP.

Computed properties:
As for the volume: 12.399 A^3/atom. The value obtained for the magnetization is 0.000 μB per atom.

Quantum ESPRESSO input file:
```
&SYSTEM
  ibrav = 0, nat = 16, ntyp = 4
/
ATOMIC_SPECIES
Sc 44.96 Sc.upf
Tc 98.00 Tc.upf
N 14.01 N.upf
O 16.00 O.upf
CELL_PARAMETERS angstrom
5.327 0.000 0.000
0.000 7.459 0.000
0.000 0.000 4.993
ATOMIC_POSITIONS angstrom
Sc 0.119 0.979 0.000
Sc 2.545 0.979 2.497
Sc 2.782 6.479 0.000
Sc 5.208 6.479 2.497
Tc 0.665 3.589 3.301
Tc 1.999 3.589 0.804
Tc 3.328 3.870 3.301
Tc 4.662 3.870 0.804
N 0.495 2.493 1.657
N 2.169 2.493 4.154
N 3.158 4.966 1.657
N 4.832 4.966 4.154
O 1.329 7.298 3.709
O 1.335 7.298 1.212
O 3.992 0.161 3.709
O 3.998 0.161 1.212
```

=====

Tell me which of them is the most stable. Sure, it is version d.

=====

Version a
An optimized crystal structure of ScTcNO. Source: OQMD via LeMat-Bulk, functional PBE-GGA. Values from VASP.

Computed properties:
As for the volume: 13.280 A^3/atom. The value obtained for the magnetization is 0.000 μB per atom.

Quantum ESPRESSO input file:
```
&SYSTEM
  ibrav = 0, nat = 8, ntyp = 4
/
ATOMIC_SPECIES
Sc 44.96 Sc.upf
Tc 98.00 Tc.upf
N 14.01 N.upf
O 16.00 O.upf
CELL_PARAMETERS angstrom
3.277 0.000 0.000
0.000 5.844 0.000
0.000 0.000 5.548
ATOMIC_POSITIONS angstrom
Sc 0.000 0.950 0.000
Sc 0.000 4.894 2.774
Tc 1.639 1.503 2.989
Tc 1.639 4.341 0.215
N 0.000 1.247 2.108
N 0.000 4.597 4.882
O 1.639 2.080 4.915
O 1.639 3.764 2.141
```

=====

Version b
An optimized crystal structure of ScTcNO. Source: OQMD via LeMat-Bulk, functional PBE-GGA. Values from VASP.

Computed properties:
As for the volume: 12.173 A^3/atom. The value obtained for the magnetization is 0.001 μB per atom.

Quantum ESPRESSO input file:
```
&SYSTEM
  ibrav = 0, nat = 16, ntyp = 4
/
ATOMIC_SPECIES
Sc 44.96 Sc.upf
Tc 98.00 Tc.upf
N 14.01 N.upf
O 16.00 O.upf
CELL_PARAMETERS angstrom
5.822 0.000 0.000
0.000 7.384 0.000
0.000 0.000 4.530
ATOMIC_POSITIONS angstrom
Sc 0.392 1.034 0.000
Sc 2.519 1.034 2.265
Sc 3.303 6.350 0.000
Sc 5.430 6.350 2.265
Tc 0.854 4.915 4.509
Tc 2.058 4.915 2.244
Tc 3.765 2.469 4.509
Tc 4.969 2.469 2.244
N 0.400 0.987 2.281
N 2.511 0.987 0.016
N 3.311 6.397 2.281
N 5.422 6.397 0.016
O 0.049 3.079 0.355
O 2.862 3.079 2.620
O 2.960 4.306 0.355
O 5.773 4.306 2.620
```

=====

Tell me which of them is the most stable. Sure, it is version b.

=====

Version a
An optimized crystal structure of ScZnNO. Source: OQMD via LeMat-Bulk, functional PBE-GGA. Values from VASP.

Computed properties:
As for the volume: 12.310 A^3/atom. The value obtained for the magnetization is 0.000 μB per atom.

Quantum ESPRESSO input file:
```
&SYSTEM
  ibrav = 0, nat = 16, ntyp = 4
/
ATOMIC_SPECIES
Sc 44.96 Sc.upf
Zn 65.41 Zn.upf
N 14.01 N.upf
O 16.00 O.upf
CELL_PARAMETERS angstrom
5.992 0.000 0.000
0.000 7.271 0.000
0.000 0.000 4.520
ATOMIC_POSITIONS angstrom
Sc 0.428 0.987 0.000
Sc 2.568 0.987 2.260
Sc 3.424 6.284 0.000
Sc 5.564 6.284 2.260
Zn 0.444 4.566 4.506
Zn 2.552 4.566 2.246
Zn 3.441 2.705 4.506
Zn 5.548 2.705 2.246
N 0.472 0.929 2.266
N 2.524 0.929 0.006
N 3.469 6.342 2.266
N 5.520 6.342 0.006
O 0.537 4.452 2.280
O 2.459 4.452 0.020
O 3.533 2.819 2.280
O 5.455 2.819 0.020
```

=====

Version b
An optimized crystal structure of ScZnNO. Source: OQMD via LeMat-Bulk, functional PBE-GGA. Values from VASP.

Computed properties:
As for the volume: 13.787 A^3/atom. The value obtained for the magnetization is 0.000 μB per atom.

Quantum ESPRESSO input file:
```
&SYSTEM
  ibrav = 0, nat = 16, ntyp = 4
/
ATOMIC_SPECIES
Sc 44.96 Sc.upf
Zn 65.41 Zn.upf
N 14.01 N.upf
O 16.00 O.upf
CELL_PARAMETERS angstrom
5.806 0.000 0.000
0.000 6.913 0.000
0.000 0.000 5.496
ATOMIC_POSITIONS angstrom
Sc 0.403 0.921 0.000
Sc 2.500 0.921 2.748
Sc 3.306 5.992 0.000
Sc 5.403 5.992 2.748
Zn 0.701 3.989 5.331
Zn 2.202 3.989 2.583
Zn 3.604 2.924 5.331
Zn 5.105 2.924 2.583
N 0.433 4.323 3.412
N 2.470 4.323 0.664
N 3.336 2.590 3.412
N 5.373 2.590 0.664
O 0.610 0.669 3.473
O 2.293 0.669 0.726
O 3.513 6.244 3.473
O 5.196 6.244 0.726
```

=====

Version c
An optimized crystal structure of ScZnNO. Source: OQMD via LeMat-Bulk, functional PBE-GGA. Values from VASP.

Computed properties:
As for the volume: 13.172 A^3/atom. The value obtained for the magnetization is 0.000 μB per atom.

Quantum ESPRESSO input file:
```
&SYSTEM
  ibrav = 0, nat = 8, ntyp = 4
/
ATOMIC_SPECIES
Sc 44.96 Sc.upf
Zn 65.41 Zn.upf
N 14.01 N.upf
O 16.00 O.upf
CELL_PARAMETERS angstrom
3.379 0.000 0.000
0.000 5.747 0.000
0.000 0.000 5.428
ATOMIC_POSITIONS angstrom
Sc 0.000 1.007 0.000
Sc 0.000 4.740 2.714
Zn 1.689 2.018 2.769
Zn 1.689 3.729 0.055
N 1.689 1.900 4.732
N 1.689 3.847 2.019
O 0.000 0.925 2.051
O 0.000 4.822 4.765
```

=====

Version d
An optimized crystal structure of ScZnNO. Source: OQMD via LeMat-Bulk, functional PBE-GGA. Values from VASP.

Computed properties:
As for the volume: 12.812 A^3/atom. The value obtained for the magnetization is 0.000 μB per atom.

Quantum ESPRESSO input file:
```
&SYSTEM
  ibrav = 0, nat = 8, ntyp = 4
/
ATOMIC_SPECIES
Sc 44.96 Sc.upf
Zn 65.41 Zn.upf
N 14.01 N.upf
O 16.00 O.upf
CELL_PARAMETERS angstrom
3.503 0.000 0.000
0.000 5.713 0.000
0.000 0.000 5.122
ATOMIC_POSITIONS angstrom
Sc 0.000 1.041 0.000
Sc 0.000 4.672 2.561
Zn 1.751 1.761 2.525
Zn 1.751 3.952 5.086
N 0.000 0.960 2.090
N 0.000 4.753 4.651
O 1.751 1.945 4.631
O 1.751 3.769 2.070
```

=====

Tell me which of them is the most stable. Sure, it is version d.

=====

Version a
An optimized crystal structure of SmSiNO. Source: OQMD via LeMat-Bulk, functional PBE-GGA. Values from VASP.

Computed properties:
As for the volume: 14.363 A^3/atom. The value obtained for the magnetization is 0.001 μB per atom.

Quantum ESPRESSO input file:
```
&SYSTEM
  ibrav = 0, nat = 16, ntyp = 4
/
ATOMIC_SPECIES
Sm 150.36 Sm.upf
Si 28.09 Si.upf
N 14.01 N.upf
O 16.00 O.upf
CELL_PARAMETERS angstrom
6.591 0.000 0.000
0.000 6.692 0.000
0.000 0.000 5.210
ATOMIC_POSITIONS angstrom
Sm 0.367 1.195 0.000
Sm 2.928 1.195 2.605
Sm 3.662 5.497 0.000
Sm 6.224 5.497 2.605
Si 0.598 4.422 5.210
Si 2.697 4.422 2.604
Si 3.894 2.270 5.210
Si 5.992 2.270 2.604
N 0.572 0.973 2.710
N 2.724 0.973 0.105
N 3.867 5.719 2.710
N 6.019 5.719 0.105
O 0.071 3.306 1.288
O 3.224 3.306 3.893
O 3.367 3.386 1.288
O 6.519 3.386 3.893
```

=====

Version b
An optimized crystal structure of SmSiNO. Source: OQMD via LeMat-Bulk, functional PBE-GGA. Values from VASP.

Computed properties:
As for the volume: 12.478 A^3/atom. The value obtained for the magnetization is 0.000 μB per atom.

Quantum ESPRESSO input file:
```
&SYSTEM
  ibrav = 0, nat = 8, ntyp = 4
/
ATOMIC_SPECIES
Sm 150.36 Sm.upf
Si 28.09 Si.upf
N 14.01 N.upf
O 16.00 O.upf
CELL_PARAMETERS angstrom
3.801 0.000 0.000
0.000 4.936 0.000
0.000 0.000 5.321
ATOMIC_POSITIONS angstrom
Sm 0.000 1.201 0.000
Sm 0.000 3.735 2.660
Si 1.900 1.198 2.664
Si 1.900 3.739 0.003
N 1.900 0.006 1.330
N 1.900 4.930 3.990
O 0.000 1.356 2.672
O 0.000 3.580 0.012
```

=====

Version c
An optimized crystal structure of SmSiNO. Source: OQMD via LeMat-Bulk, functional PBE-GGA. Values from VASP.

Computed properties:
As for the volume: 13.687 A^3/atom. The value obtained for the magnetization is 0.000 μB per atom.

Quantum ESPRESSO input file:
```
&SYSTEM
  ibrav = 0, nat = 16, ntyp = 4
/
ATOMIC_SPECIES
Sm 150.36 Sm.upf
Si 28.09 Si.upf
N 14.01 N.upf
O 16.00 O.upf
CELL_PARAMETERS angstrom
5.371 0.000 0.000
0.000 8.234 0.000
0.000 0.000 4.952
ATOMIC_POSITIONS angstrom
Sm 0.027 1.123 0.000
Sm 2.658 1.123 2.476
Sm 2.713 7.111 0.000
Sm 5.344 7.111 2.476
Si 0.474 4.830 4.695
Si 2.212 4.830 2.219
Si 3.160 3.404 4.695
Si 4.897 3.404 2.219
N 0.634 4.539 2.954
N 2.052 4.539 0.478
N 3.320 3.695 2.954
N 4.737 3.695 0.478
O 0.050 6.373 4.951
O 2.636 6.373 2.475
O 2.736 1.860 4.951
O 5.321 1.860 2.475
```

=====

Tell me which of them is the most stable. Sure, it is version b.